Entry from Alexandria via LeMat-Bulk: crystalline ZnCr3Pb at its relaxed geometry (GGA-PBE).

SG = Pm-3m, No. 221
relative energy among the computed polymorphs = 1.995 eV/f.u.
mass density = 4.724 g cm⁻³
volume = 30.13 Å³ per atom

Unit cell a=5.3210 b=5.3210 c=5.3210 alpha=90.00 beta=90.00 gamma=90.00
Last column: nearest neighbours and their distance in Å.
Element x y z (fractional)
Pb: 0.0000 0.0000 0.0000  6 Cr 2.66
Zn: 0.5000 0.5000 0.5000  12 Cr 3.76
Cr: 0.0000 0.0000 0.5000  2 Pb 2.66
Cr: 0.0000 0.5000 0.0000  2 Pb 2.66
Cr: 0.5000 0.0000 0.0000  2 Pb 2.66